[1]
Compound: PrHoEr2Te6
Source: the Alexandria database
Functional: PBE-GGA
Structure: optimized geometry

Structure (POSCAR):
```
PrHoEr2Te6
1.0
-4.045 1.493 -6.435
2.366 -2.840 -6.808
-4.403 -6.227 -3.339
Te Er Pr Ho
6 2 1 1
Cartesian
-3.168 -6.164 -10.042 Te
-2.857 -5.614 -5.976 Te
-3.340 -1.882 -10.802 Te
-2.961 -1.302 -6.331 Te
0.113 -3.761 -8.562 Te
-5.983 -3.921 -8.049 Te
-4.323 -6.107 -3.362 Er
-2.930 -3.620 -8.322 Er
-3.774 -4.496 -12.658 Pr
-0.687 -0.640 -4.379 Ho
```

Values from the calculation:
space-group type = R3, No. 146
formation energy without anion corrections = -1353 meV per atom

=====

[2]
Compound: La3HoH
Source: the Alexandria database
Functional: PBE-GGA
Structure: optimized geometry

Structure (POSCAR):
```
La3HoH
1.0
5.230 0.000 0.000
0.000 5.230 0.000
0.000 0.000 5.230
La Ho H
3 1 1
Cartesian
2.615 0.000 0.000 La
0.000 2.615 0.000 La
0.000 0.000 2.615 La
2.615 2.615 2.615 Ho
0.000 0.000 0.000 H
```

Values from the calculation:
space-group type = Pm-3m, No. 221
density of states at the Fermi level = 1.117 states/eV/atom

=====

[3]
Compound: GaTcIr2
Source: the Alexandria database
Functional: PBE-GGA
Structure: optimized geometry

Structure (POSCAR):
```
GaTcIr2
1.0
-1.002 2.198 1.399
1.369 -0.831 2.286
5.894 4.008 -2.072
Ga Ir Tc
1 2 1
Cartesian
0.183 0.683 1.842 Ga
1.469 0.999 -0.516 Ir
4.425 3.009 -1.556 Ir
3.130 2.687 0.806 Tc
```

Values from the calculation:
ΔE_f = -6.3 kcal/mol of atoms
space-group type = P4/mmm, No. 123
density of states at the Fermi level = 0.609 states/eV/atom

=====

[4]
Compound: Cs2HgBr5
Source: the Alexandria database
Functional: PBE-GGA
Structure: optimized geometry

Structure (POSCAR):
```
Cs2HgBr5
1.0
7.588 0.353 0.503
-3.428 6.779 -0.503
-3.428 -2.779 6.203
Hg Br Cs
1 5 2
Cartesian
-0.196 0.114 0.163 Hg
-3.276 -0.683 4.544 Br
-3.276 4.505 0.903 Br
2.054 0.987 1.407 Br
-2.185 1.275 1.817 Br
-1.019 3.188 4.544 Br
0.491 -0.286 4.674 Cs
0.491 4.493 1.321 Cs
```

Values from the calculation:
space-group type = I4mm, No. 107
density of states at the Fermi level = 0.687 states/eV/atom
formation energy without anion corrections = -1027 meV per atom

=====

[5]
Compound: RbPrTiNbO6F
Source: the Alexandria database
Functional: PBE-GGA
Structure: optimized geometry

Structure (POSCAR):
```
RbPrTiNbO6F
1.0
-3.163 1.518 1.610
1.379 -0.881 3.539
5.097 10.070 0.522
O Rb F Nb Pr Ti
6 1 1 1 1 1
Cartesian
-0.756 2.389 0.890 O
2.669 9.155 1.241 O
1.500 1.160 1.853 O
1.853 3.661 0.190 O
3.280 6.480 0.336 O
5.070 10.016 0.519 O
1.741 5.519 2.844 Rb
4.914 7.906 2.202 F
1.041 2.056 0.107 Nb
4.202 10.381 3.097 Pr
4.051 8.002 0.415 Ti
```

Values from the calculation:
space-group type = Pmm2, No. 25
formation energy without anion corrections = -2846 meV per atom

=====

[6]
Compound: Cs4K4Rb
Source: the Alexandria database
Functional: PBE-GGA
Structure: optimized geometry

Structure (POSCAR):
```
Cs4K4Rb
1.0
10.015 0.000 0.000
0.000 10.015 0.000
0.000 0.000 17.459
K Cs Rb
8 8 2
Cartesian
0.000 2.882 7.900 K
7.890 5.007 16.629 K
5.007 7.890 0.829 K
0.000 7.133 7.900 K
5.007 2.125 0.829 K
2.882 0.000 9.559 K
7.133 0.000 9.559 K
2.125 5.007 16.629 K
7.559 5.007 4.003 Cs
2.456 5.007 4.003 Cs
5.007 2.456 13.455 Cs
5.007 7.559 13.455 Cs
0.000 2.551 12.733 Cs
2.551 0.000 4.726 Cs
7.464 0.000 4.726 Cs
0.000 7.464 12.733 Cs
5.007 5.007 8.729 Rb
0.000 0.000 0.000 Rb
```

Values from the calculation:
ΔE_f = 1.1 kcal/mol of atoms
space-group type = P4_2/nmc, No. 137
relative energy among the computed polymorphs = 37 meV/atom
density of states at the Fermi level = 0.979 states/eV/atom

=====

[7]
Compound: Mg6CdBi2
Source: the Alexandria database
Functional: PBE-GGA
Structure: optimized geometry

Structure (POSCAR):
```
Mg6CdBi2
1.0
-1.563 -2.293 -3.735
-3.259 -7.195 5.782
-8.625 4.559 0.811
Mg Bi Cd
12 4 2
Cartesian
-8.094 -1.640 1.497 Mg
-6.598 -5.673 3.346 Mg
-9.462 -0.775 4.437 Mg
-9.841 2.188 -0.122 Mg
-3.986 -4.154 -1.578 Mg
-5.313 -0.196 2.344 Mg
-12.004 -5.592 2.661 Mg
-6.850 0.744 -0.488 Mg
-5.354 -3.289 1.362 Mg
-1.443 0.663 0.197 Mg
-8.134 -4.734 0.514 Mg
-3.606 -7.117 2.981 Mg
-5.413 -6.383 0.388 Bi
-4.092 -1.063 -0.533 Bi
-9.356 -3.867 3.392 Bi
-8.034 1.454 2.471 Bi
-2.411 -4.744 1.024 Cd
-4.312 2.279 0.406 Cd
```

Values from the calculation:
ΔE_f = -1.8 kcal/mol of atoms
space-group type = P4_2/mnm, No. 136
density of states at the Fermi level = 0.375 states/eV/atom

=====

[8]
Compound: Na3Bi2Pd3
Source: the Alexandria database
Functional: PBE-GGA
Structure: optimized geometry

Structure (POSCAR):
```
Na3Bi2Pd3
1.0
-0.645 -5.467 -1.268
4.527 -3.349 -0.449
0.854 -4.419 6.039
Pd Na Bi
3 3 2
Cartesian
2.263 -1.674 -0.224 Pd
-0.323 -2.733 -0.634 Pd
1.941 -4.408 -0.858 Pd
0.946 -4.109 4.654 Na
2.368 -6.617 2.161 Na
3.789 -9.126 -0.332 Na
3.586 -9.809 2.717 Bi
1.149 -3.426 1.605 Bi
```

Values from the calculation:
ΔE_f = -6.5 kcal/mol of atoms
space-group type = R-3m, No. 166
relative energy among the computed polymorphs = 0 meV/atom
density of states at the Fermi level = 0.590 states/eV/atom

=====

[9]
Compound: Ni2SbOs
Source: the Alexandria database
Functional: PBE-GGA
Structure: optimized geometry

Structure (POSCAR):
```
Ni2SbOs
1.0
3.197 0.101 0.000
-0.101 3.197 0.000
0.000 0.000 5.554
Ni Sb Os
2 1 1
Cartesian
0.000 0.000 0.121 Ni
1.548 1.649 1.293 Ni
1.548 1.649 4.247 Sb
0.000 0.000 2.669 Os
```

Values from the calculation:
space-group type = P4mm, No. 99
density of states at the Fermi level = 1.193 states/eV/atom
formation energy without anion corrections = 281 meV per atom

=====

[10]
Compound: AcNd5Sm12
Source: the Alexandria database
Functional: PBE-GGA
Structure: optimized geometry

Structure (POSCAR):
```
AcNd5Sm12
1.0
-3.945 10.945 1.507
-4.444 3.448 8.982
5.491 1.645 2.054
Sm Nd Ac
12 5 1
Cartesian
-6.509 13.149 7.600 Sm
0.321 3.591 4.155 Sm
-1.070 3.710 0.591 Sm
-0.433 7.642 4.926 Sm
2.255 2.910 1.393 Sm
-3.219 12.448 8.388 Sm
2.616 8.880 2.970 Sm
0.810 7.683 8.454 Sm
-2.465 8.397 7.618 Sm
-3.708 8.355 4.089 Sm
3.611 2.889 4.943 Sm
-0.709 9.680 2.168 Sm
0.773 6.295 1.781 Nd
-2.832 4.769 3.614 Nd
-2.019 11.097 5.261 Nd
-5.557 9.624 6.875 Nd
-0.879 4.942 7.282 Nd
0.000 0.000 0.000 Ac
```

Values from the calculation:
ΔE_f = 2.2 kcal/mol of atoms
space-group type = C2/m, No. 12
density of states at the Fermi level = 1.623 states/eV/atom

=====

[11]
Compound: Li7Mg2Al3
Source: the Alexandria database
Functional: PBE-GGA
Structure: optimized geometry

Structure (POSCAR):
```
Li7Mg2Al3
1.0
-1.741 1.501 1.945
-1.428 -4.058 1.853
12.455 2.507 9.213
Li Mg Al
7 2 3
Cartesian
4.379 0.960 5.510 Li
0.000 0.000 0.000 Li
1.199 -1.951 2.578 Li
8.565 -0.869 10.667 Li
0.721 0.819 2.344 Li
9.828 0.400 8.488 Li
4.907 -1.009 7.502 Li
6.878 1.076 7.657 Mg
2.407 -1.126 5.354 Mg
3.309 0.125 2.865 Al
7.718 -1.676 8.201 Al
-1.585 -1.278 1.899 Al
```

Values from the calculation:
ΔE_f = -1.0 kcal/mol of atoms
space-group type = P2/m, No. 10
density of states at the Fermi level = 0.372 states/eV/atom

=====

[12]
Compound: Sm2YU2Ru5
Source: the Alexandria database
Functional: PBE-GGA
Structure: optimized geometry

Structure (POSCAR):
```
Sm2YU2Ru5
1.0
-1.811 -2.610 1.631
4.036 -7.156 -6.967
8.361 -1.690 6.579
Ru Y Sm U
10 2 4 4
Cartesian
7.306 -6.456 1.692 Ru
5.743 -7.191 -1.219 Ru
3.279 -5.000 -0.449 Ru
0.391 -2.939 -0.359 Ru
3.275 -2.150 4.105 Ru
4.843 -4.265 2.462 Ru
1.112 -4.883 -2.668 Ru
5.851 -2.992 5.618 Ru
4.735 -8.464 -4.375 Ru
10.194 -8.517 1.602 Ru
6.198 -4.423 -0.194 Y
0.000 0.000 0.000 Y
3.421 -1.805 0.911 Sm
4.194 -5.131 -3.552 Sm
8.202 -3.715 3.164 Sm
8.976 -7.042 -1.300 Sm
6.543 -6.807 -3.625 U
5.853 -2.039 3.237 U
2.602 -2.840 -1.656 U
9.795 -6.006 1.267 U
```

Values from the calculation:
ΔE_f = -5.6 kcal/mol of atoms
space-group type = P4/mbm, No. 127
density of states at the Fermi level = 0.749 states/eV/atom

=====

| no. | total energy (eV per cell) |
| --- | --- |
| 1 | -50.9 |
| 2 | -23.5 |
| 3 | -32.2 |
| 4 | -18.6 |
| 5 | -86.6 |
| 6 | -16.7 |
| 7 | -37.9 |
| 8 | -29.5 |
| 9 | -25.8 |
| 10 | -82.8 |
| 11 | -28.3 |
| 12 | -174.6 |